[1]
A plane-wave DFT calculation with PBE was carried out for a relaxed PmNd2ZrN4 crystal.

Unit cell a=6.116 b=3.517 c=6.129 alpha=90.00 beta=109.10 gamma=90.00
Fractional positions:
1 Pm 0.000 0.000 0.000
2 Nd 0.000 0.500 0.500
3 Nd 0.500 0.000 0.500
4 Zr 0.500 0.500 0.000
5 N 0.263 0.500 0.233
6 N 0.272 0.000 0.773
7 N 0.728 0.000 0.227
8 N 0.737 0.500 0.767

Values from the calculation:
The space group is P2/m (10). The value obtained for the formation energy without anion corrections is -1.461 eV/atom.

=====

[2]
A plane-wave DFT calculation with PBE was carried out for a relaxed PrNd2N3 crystal.

Unit cell a=6.349 b=6.349 c=6.349 alpha=146.43 beta=131.86 gamma=59.97
Fractional positions:
1 Pr 0.000 0.000 0.000
2 Nd 0.333 0.333 0.000
3 Nd 0.667 0.667 0.000
4 N 0.168 0.668 0.500
5 N 0.500 0.000 0.500
6 N 0.832 0.332 0.500

Values from the calculation:
The space group is Immm (71). The value obtained for the formation energy without anion corrections is -1.336 eV/atom.

=====

- Among the records above, which one has the lowest formation energy without anion corrections?
  PmNd2ZrN4

=====

- Which of these has the lowest formation energy without anion corrections?
  PmNd2ZrN4